Record 1
This record from Alexandria describes a relaxed structure of Hf3PdAu. The functional is PBE.

Lattice parameters (Å, degrees): 4.9674 4.9674 4.9674 90.00 90.00 90.00
With the nearest neighbours (Å) after each atom.
Element x y z (fractional)
Pd 0.0000 0.0000 0.0000  6 Hf 2.48
Hf 0.0000 0.0000 0.5000  2 Pd 2.48
Hf 0.0000 0.5000 0.0000  2 Pd 2.48
Hf 0.5000 0.0000 0.0000  2 Pd 2.48
Au 0.5000 0.5000 0.5000  12 Hf 3.51

## Properties
energy: -7.1968 eV per atom
space-group type: Pm-3m, No. 221
total magnetization: 0.0 μB/f.u.



Record 2
This record from Alexandria describes a relaxed structure of HfPd5Au. The functional is PBE.

Lattice parameters (Å, degrees): 5.3344 5.3344 10.0243 84.67 84.67 58.41
With the nearest neighbours (Å) after each atom.
Element x y z (fractional)
Au 0.0000 0.0000 0.5000  8 Pd 2.75-3.07, 2 Hf 2.94
Au 0.0000 0.0000 0.0000  8 Pd 2.75-3.07, 2 Hf 2.94
Hf 0.7042 0.2958 0.7500  8 Pd 2.54-2.82
Hf 0.2958 0.7042 0.2500  8 Pd 2.54-2.82
Pd 0.1930 0.2843 0.8144  7 Pd 2.71-2.93, 2 Hf 2.71-2.77, 1 Au 2.75
Pd 0.7157 0.8070 0.6856  7 Pd 2.71-2.93, 2 Hf 2.71-2.77, 1 Au 2.75
Pd 0.2843 0.1930 0.3144  7 Pd 2.71-2.93, 2 Hf 2.71-2.77, 1 Au 2.75
Pd 0.2161 0.7839 0.7500  2 Hf 2.54-2.66, 4 Pd 2.74-2.75, 2 Au 2.75
Pd 0.7839 0.2161 0.2500  2 Hf 2.54-2.66, 4 Pd 2.74-2.75, 2 Au 2.75
Pd 0.8070 0.7157 0.1856  7 Pd 2.71-2.93, 2 Hf 2.71-2.77, 1 Au 2.75
Pd 0.3286 0.3784 0.5487  5 Pd 2.71-2.93, 1 Hf 2.82, 1 Au 2.84
Pd 0.3784 0.3286 0.0487  5 Pd 2.71-2.93, 1 Hf 2.82, 1 Au 2.84
Pd 0.6714 0.6216 0.4513  5 Pd 2.71-2.93, 1 Hf 2.82, 1 Au 2.84
Pd 0.6216 0.6714 0.9513  5 Pd 2.71-2.93, 1 Hf 2.82, 1 Au 2.84

## Properties
energy: -5.9098 eV per atom
space-group type: C2/c, No. 15
total magnetization: 0.0 μB/f.u.



Record 3
This record from Alexandria describes a relaxed structure of HfPd6Au4. The functional is PBE.

Lattice parameters (Å, degrees): 4.5951 4.5355 20.9713 90.00 90.00 120.44
With the nearest neighbours (Å) after each atom.
Element x y z (fractional)
Pd 0.1742 0.3484 0.6033  6 Au 2.67-2.90
Pd 0.8258 0.6516 0.3967  6 Au 2.67-2.90
Pd 0.1742 0.3484 0.8967  6 Au 2.67-2.90
Pd 0.5133 0.0267 0.7500  2 Au 2.59, 3 Hf 2.63
Pd 0.8465 0.6931 0.6834  5 Pd 2.79-3.07, 4 Au 2.89-2.90, 3 Hf 2.94-3.00
Pd 0.8465 0.6931 0.8166  5 Pd 2.79-3.07, 4 Au 2.89-2.90, 3 Hf 2.94-3.00
Pd 0.5000 0.0000 0.5000  8 Au 2.65-2.81
Pd 0.8258 0.6516 0.1033  6 Au 2.67-2.90
Pd 0.5000 0.0000 0.0000  8 Au 2.65-2.81
Pd 0.1535 0.3069 0.1834  5 Pd 2.79-3.07, 4 Au 2.89-2.90, 3 Hf 2.94-3.00
Pd 0.4867 0.9733 0.2500  2 Au 2.59, 3 Hf 2.63
Pd 0.1535 0.3069 0.3166  5 Pd 2.79-3.07, 4 Au 2.89-2.90, 3 Hf 2.94-3.00
Au 0.5103 0.0206 0.8735  8 Pd 2.59-2.89
Au 0.1623 0.3247 0.0452  8 Pd 2.79-3.11, 1 Au 3.08
Au 0.4897 0.9794 0.3735  8 Pd 2.59-2.89
Au 0.5103 0.0206 0.6265  8 Pd 2.59-2.89
Au 0.4897 0.9794 0.1265  8 Pd 2.59-2.89
Au 0.8377 0.6753 0.5452  8 Pd 2.79-3.11, 1 Au 3.08
Au 0.1623 0.3247 0.4548  8 Pd 2.79-3.11, 1 Au 3.08
Au 0.8377 0.6753 0.9548  8 Pd 2.79-3.11, 1 Au 3.08
Hf 0.8228 0.6455 0.2500  5 Pd 2.63-2.94
Hf 0.1772 0.3545 0.7500  5 Pd 2.63-2.94

## Properties
energy: -5.1723 eV per atom
space-group type: Cmcm, No. 63
total magnetization: 0.0 μB/f.u.



Record 4
This record from Alexandria describes a relaxed structure of HfPd4Au2. The functional is PBE.

Lattice parameters (Å, degrees): 6.4131 5.7133 8.5440 119.44 107.82 102.50
With the nearest neighbours (Å) after each atom.
Element x y z (fractional)
Au 0.2195 0.6538 0.8874  8 Pd 2.80-2.92, 1 Hf 2.81, 3 Au 2.89-2.96
Au 0.6576 0.7337 0.1792  6 Pd 2.80-2.93, 4 Au 2.86-2.91, 2 Hf 2.89-2.99
Au 0.6595 0.2324 0.1770  7 Pd 2.84-2.96, 3 Au 2.86-2.94, 2 Hf 2.88-2.90
Au 0.5237 0.3726 0.7462  8 Pd 2.81-2.92, 2 Au 2.91-2.96, 2 Hf 2.91-3.02
Pd 0.9473 0.4526 0.0381  3 Hf 2.80-2.92, 5 Pd 2.82-2.94, 4 Au 2.83-2.87
Pd 0.0872 0.2977 0.4603  5 Pd 2.78-2.93, 3 Hf 2.81-2.88, 4 Au 2.85-2.87
Pd 0.2307 0.1611 0.8935  2 Hf 2.75-2.85, 5 Pd 2.80-2.92, 5 Au 2.84-2.92
Pd 0.5227 0.8752 0.7501  6 Pd 2.80-2.93, 2 Hf 2.84-2.89, 4 Au 2.86-2.92
Pd 0.3634 0.5217 0.3271  2 Hf 2.73-2.77, 8 Pd 2.78-2.92, 2 Au 2.93-2.96
Pd 0.8019 0.5859 0.6047  7 Pd 2.80-2.92, 3 Au 2.80-2.86, 2 Hf 2.83-2.92
Pd 0.8112 0.0751 0.6012  1 Hf 2.77, 8 Pd 2.80-2.94, 3 Au 2.80-2.92
Pd 0.3674 0.0160 0.3228  2 Hf 2.77-2.85, 6 Pd 2.81-2.92, 4 Au 2.81-2.92
Hf 0.0893 0.7996 0.4674  9 Pd 2.77-2.88, 3 Au 2.88-2.91
Hf 0.9685 0.9726 0.0449  8 Pd 2.73-2.92, 4 Au 2.81-3.02

## Properties
energy: -5.8311 eV per atom
space-group type: P1, No. 1
total magnetization: 0.0 μB/f.u.



Record 5
This record from Alexandria describes a relaxed structure of HfPdAu6. The functional is PBE.

Lattice parameters (Å, degrees): 4.1712 5.0289 7.7920 79.80 74.47 65.50
With the nearest neighbours (Å) after each atom.
Element x y z (fractional)
Au 0.2480 0.8784 0.6255  8 Au 2.88-2.97, 1 Hf 2.91, 3 Pd 2.91-2.93
Au 0.7520 0.1216 0.3745  8 Au 2.88-2.97, 1 Hf 2.91, 3 Pd 2.91-2.93
Au 0.2489 0.3752 0.1270  1 Pd 2.90, 8 Au 2.90-2.99, 3 Hf 2.91-2.95
Au 0.5010 0.2467 0.7514  8 Au 2.88-2.97, 2 Hf 2.96, 2 Pd 2.99
Au 0.4990 0.7533 0.2486  8 Au 2.88-2.97, 2 Hf 2.96, 2 Pd 2.99
Au 0.7511 0.6248 0.8730  1 Pd 2.90, 8 Au 2.90-2.99, 3 Hf 2.91-2.95
Hf 0.0000 0.0000 0.0000  12 Au 2.91-2.96
Pd 0.0000 0.5000 0.5000  12 Au 2.90-2.99

## Properties
energy: -4.6188 eV per atom
space-group type: C2/m, No. 12
total magnetization: 0.0 μB/f.u.



Record 6
This record from Alexandria describes a relaxed structure of Hf2Pd8Au. The functional is PBE.

Lattice parameters (Å, degrees): 4.0776 6.5227 7.4685 107.02 105.84 90.00
With the nearest neighbours (Å) after each atom.
Element x y z (fractional)
Pd 0.6773 0.9080 0.3546  3 Hf 2.74-2.75, 1 Au 2.79, 8 Pd 2.82-2.93
Pd 0.9576 0.2748 0.9152  1 Hf 2.66, 8 Pd 2.82-2.96, 2 Au 2.90
Pd 0.8525 0.7955 0.7051  3 Hf 2.77-2.86, 7 Pd 2.83-3.03, 2 Au 2.95
Pd 0.4031 0.5476 0.8062  3 Hf 2.76-2.99, 8 Pd 2.83-3.03, 1 Au 2.85
Pd 0.3227 0.0920 0.6454  3 Hf 2.74-2.75, 1 Au 2.79, 8 Pd 2.82-2.93
Pd 0.0424 0.7252 0.0848  1 Hf 2.66, 8 Pd 2.82-2.96, 2 Au 2.90
Pd 0.1475 0.2045 0.2949  3 Hf 2.77-2.86, 7 Pd 2.83-3.03, 2 Au 2.95
Pd 0.5969 0.4524 0.1938  3 Hf 2.76-2.99, 8 Pd 2.83-3.03, 1 Au 2.85
Au 0.5000 0.0000 0.0000  12 Pd 2.79-2.95
Hf 0.7827 0.3354 0.5655  9 Pd 2.66-2.86
Hf 0.2173 0.6646 0.4345  9 Pd 2.66-2.86

## Properties
energy: -6.4405 eV per atom
space-group type: C2/m, No. 12
total magnetization: 0.0 μB/f.u.



Record 7
This record from Alexandria describes a relaxed structure of Hf2PdAu. The functional is PBE.

Lattice parameters (Å, degrees): 7.4947 7.4947 6.0248 51.54 51.54 90.00
With the nearest neighbours (Å) after each atom.
Element x y z (fractional)
Hf 0.6108 0.1250 0.2500  2 Pd 2.67, 2 Au 2.82, 2 Hf 2.87
Hf 0.8750 0.8608 0.7500  2 Pd 2.67, 2 Au 2.82, 2 Hf 2.87
Hf 0.3750 0.3892 0.7500  2 Pd 2.67, 2 Au 2.82, 2 Hf 2.87
Hf 0.1392 0.6250 0.2500  2 Pd 2.67, 2 Au 2.82, 2 Hf 2.87
Pd 0.5000 0.5000 0.0000  4 Hf 2.67, 2 Au 2.87
Pd 0.2500 0.7500 0.5000  4 Hf 2.67, 2 Au 2.87
Au 0.0000 0.0000 0.0000  4 Hf 2.82, 2 Pd 2.87
Au 0.7500 0.2500 0.5000  4 Hf 2.82, 2 Pd 2.87

## Properties
energy: -7.2405 eV per atom
space-group type: I-42d, No. 122
total magnetization: 0.0 μB/f.u.



Record 8
This record from Alexandria describes a relaxed structure of HfPd4Au7. The functional is PBE.

Lattice parameters (Å, degrees): 5.0426 8.5908 6.1174 79.81 65.66 72.93
With the nearest neighbours (Å) after each atom.
Element x y z (fractional)
Pd 0.7227 0.6781 0.8765  8 Au 2.77-3.06, 1 Pd 2.88
Pd 0.5687 0.2265 0.6360  8 Au 2.66-2.89, 1 Pd 2.88
Pd 0.2773 0.3219 0.1235  8 Au 2.77-3.06, 1 Pd 2.88
Pd 0.4313 0.7735 0.3640  8 Au 2.66-2.89, 1 Pd 2.88
Au 0.7961 0.9148 0.4929  4 Pd 2.73-2.89, 4 Au 2.75-2.95, 1 Hf 2.79
Au 0.5000 0.0000 0.0000  2 Hf 2.52, 4 Pd 2.66-2.77
Au 0.2039 0.0852 0.5071  4 Pd 2.73-2.89, 4 Au 2.75-2.95, 1 Hf 2.79
Au 0.6433 0.4492 0.2642  5 Pd 2.67-2.86, 2 Au 2.75-2.81
Au 0.0734 0.6647 0.1886  2 Au 2.75, 5 Pd 2.86-3.06, 1 Hf 2.88
Au 0.3567 0.5508 0.7358  5 Pd 2.67-2.86, 2 Au 2.75-2.81
Au 0.9266 0.3353 0.8114  2 Au 2.75, 5 Pd 2.86-3.06, 1 Hf 2.88
Hf 0.0000 0.0000 0.0000  4 Au 2.52-2.79

## Properties
energy: -4.4114 eV per atom
space-group type: C2/m, No. 12
total magnetization: 0.0 μB/f.u.



Record 9
This record from Alexandria describes a relaxed structure of HfPdAu2. The functional is PBE.

Lattice parameters (Å, degrees): 6.1413 6.1413 6.1413 52.66 145.31 141.65
With the nearest neighbours (Å) after each atom.
Element x y z (fractional)
Hf 0.0000 0.5000 0.5000  4 Pd 2.72, 2 Au 2.77
Pd 0.0000 0.0000 0.0000  4 Hf 2.72, 2 Au 2.73
Au 0.0000 0.2484 0.2484  4 Au 2.72, 1 Pd 2.73, 1 Hf 2.77
Au 0.0000 0.7516 0.7516  4 Au 2.72, 1 Pd 2.73, 1 Hf 2.77

## Properties
energy: -5.4717 eV per atom
space-group type: Immm, No. 71
total magnetization: 0.0 μB/f.u.



Record 10
This record from Alexandria describes a relaxed structure of PmHfPdAu. The functional is PBE.

Lattice parameters (Å, degrees): 4.9569 4.9569 4.9569 60.00 60.00 60.00
With the nearest neighbours (Å) after each atom.
Element x y z (fractional)
Hf 0.2500 0.2500 0.2500  4 Pd 3.04, 4 Au 3.04
Pm 0.7500 0.7500 0.7500  4 Pd 3.04, 4 Au 3.04
Pd 0.5000 0.5000 0.5000  4 Pm 3.04, 4 Hf 3.04
Au 0.0000 0.0000 0.0000  4 Pm 3.04, 4 Hf 3.04

## Properties
energy: -6.3221 eV per atom
space-group type: F-43m, No. 216
total magnetization: 0.0 μB/f.u.



no.,energy of formation (eV/atom)
1,0.47
2,-0.31
3,-0.24
4,-0.51
5,-0.27
6,-0.56
7,-0.15
8,0.06
9,-0.05
10,-0.53